# 1
Here is a geometry-optimized LuNb2Hg structure from OQMD. Energies are from GGA-PBE.

Lattice parameters (Å, degrees): 6.8694 6.8694 6.8694 90.00 90.00 90.00
Space group F-43m (No. 216)
Unique sites:
Lu1 0.0000 0.0000 0.0000
Nb1 0.0000 0.0000 0.5000
Nb2 0.2500 0.2500 0.7500
Hg1 0.2500 0.2500 0.2500

Calculated values
**E_tot**: -6.08 eV/atom
**DFT formation energy**: 0.1742 eV/atom
**Magnetization**: 0.02 Bohr magnetons per cell



# 2
Here is a geometry-optimized AgOsO6 structure from OQMD. Energies are from GGA-PBE.

Lattice parameters (Å, degrees): 7.4073 7.4073 7.4073 90.00 90.00 90.00
Space group F-43m (No. 216)
Unique sites:
Ag1 0.0000 0.0000 0.0000
Os1 0.2500 0.2500 0.2500
O1 0.0008 0.2500 0.7500

Calculated values
**E_tot**: -5.34 eV/atom
**Magnetization**: 11.98 Bohr magnetons per cell